# Ba2PmDySe4 (GGA-PBE, relaxed)
# Total moment   0.00 μB per formula unit
# Formation energy (no corrections)   -1461 kJ/mol of formula units
# DOS at the Fermi energy   0.468 states/eV/atom
data_Ba2PmDySe4
_space_group_name_H-M_alt 'P 1 2/m 1'
_space_group_IT_number 10
_cell_length_a 7.4957
_cell_length_b 4.3348
_cell_length_c 7.8136
_cell_angle_alpha 90.00
_cell_angle_beta 108.71
_cell_angle_gamma 90.00
loop_
_space_group_symop_operation_xyz
'x,y,z'
'-x,-y,-z'
'-x,y,-z'
'x,-y,z'
loop_
_atom_site_label
_atom_site_fract_x
_atom_site_fract_y
_atom_site_fract_z
Ba1 0.0000 0.0000 0.0000
Ba2 0.5000 0.5000 0.0000
Pm1 0.0000 0.5000 0.5000
Dy1 0.5000 0.0000 0.5000
Se1 0.2450 0.0000 0.7174
Se2 0.2672 0.5000 0.2858